DFT (PBE-GGA) results for a relaxed La2BH crystal.

Geometry as POSCAR:
```
La2BH
1.0
0.0000 3.3352 3.3352
3.3352 0.0000 3.3352
3.3352 3.3352 0.0000
La B H
2 1 1
Direct
0.2500 0.2500 0.2500
0.7500 0.7500 0.7500
0.0000 0.0000 0.0000
0.5000 0.5000 0.5000
```

Energy relative to the lowest polymorph listed for this composition in kJ per mole of atoms: 0.0
Size of the total moment in μB per cell: 0.00